TmPuCuPt (PBE, relaxed); SG = F-43m (216); energy relative to the elements = -539 meV/atom
1.0
-1.5275 1.0131 4.5536
-1.8107 -3.5757 2.8339
2.5661 -1.6064 3.8639
Tm Cu Pt Pu
1 1 1 1
Direct
0.0000 0.0000 0.0000
0.7500 0.7500 0.7500
0.2500 0.2500 0.2500
0.5000 0.5000 0.5000

=====

CdFe2Se (PBE, relaxed); formation energy without anion corrections = 0.4469 eV/atom; SG = I4/mmm (139)
1.0
-3.0015 1.2394 3.6993
-4.6517 0.0397 -1.6092
3.5601 -3.3820 -0.3424
Cd Fe Se
1 2 1
Direct
0.7500 0.2500 0.5000
0.0000 0.0000 0.0000
0.5000 0.5000 0.0000
0.2500 0.7500 0.5000

=====

Pm2Pr5Ge4 (PBE, relaxed); SG = C2/m (12); energy relative to the elements = -302 meV/atom
1.0
-2.4941 -1.9756 2.1161
1.9659 -6.6592 -3.9001
6.5339 7.3456 11.1090
Pm Pr Ge
2 5 4
Direct
0.0667 0.7876 0.1333
0.9333 0.2124 0.8667
0.2146 0.0678 0.4291
0.7854 0.9322 0.5709
0.1663 0.3964 0.3326
0.5000 0.0000 0.0000
0.8337 0.6036 0.6674
0.6410 0.6458 0.2821
0.9376 0.5914 0.8752
0.3590 0.3542 0.7179
0.0624 0.4086 0.1248

=====

Nd4HoTm2 (PBE, relaxed); energy above the most stable polymorph in this dataset = 0 meV per atom; SG = Fdd2 (43); energy relative to the elements = 59 meV/atom
1.0
12.0606 -3.0943 -1.5505
-9.4470 8.1109 -1.5505
0.0216 0.0416 6.7950
Nd Ho Tm
8 2 4
Direct
0.7111 0.1735 0.8604
0.1736 0.7110 0.3604
0.1858 0.7947 0.8955
0.7948 0.1858 0.3955
0.0404 0.1495 0.6045
0.5629 0.6006 0.1404
0.6006 0.5630 0.6404
0.1494 0.0404 0.1045
0.4226 0.6727 0.5004
0.6727 0.4226 0.0004
0.6209 0.3034 0.4507
0.9203 0.1028 0.0496
0.1028 0.9203 0.5496
0.3034 0.6208 0.9507

=====

Density of states at the Fermi level for the records above, in order: 2.5795, 1.0734, 1.0849, 1.4113 states/eV/atom